1.
This record from Alexandria via LeMat-Bulk describes a relaxed structure of Sr2NpN. The functional is GGA-PBE.

Lattice parameters (Å, degrees): 3.6363 3.6363 10.8277 80.33 80.33 60.00
With the nearest neighbours (Å) after each atom.
Fractional coordinates of all 4 atoms:
Np  0.0000  0.0000  0.0000  6 Np 3.64, 2 Sr 3.89
Sr  0.1220  0.1220  0.6339  3 N 2.54
Sr  0.8780  0.8780  0.3661  3 N 2.54
N  0.5000  0.5000  0.5000  6 Sr 2.54

=====

2.
This record from Alexandria via LeMat-Bulk describes a relaxed structure of Sr2Np2N5. The functional is GGA-PBE.

Lattice parameters (Å, degrees): 5.9396 5.9172 9.6046 107.94 108.01 90.00
With the nearest neighbours (Å) after each atom.
Fractional coordinates of all 18 atoms:
Sr  0.8882  0.3767  0.7748  4 N 2.61-2.87
Sr  0.1118  0.6019  0.2252  4 N 2.61-2.87
Sr  0.3866  0.8767  0.7748  4 N 2.61-2.87
Sr  0.6134  0.1019  0.2252  4 N 2.61-2.87
Np  0.0000  0.9944  0.0000  6 N 2.10-2.31
Np  0.5000  0.4944  0.0000  6 N 2.10-2.31
Np  0.7818  0.7600  0.5000  4 N 2.02-2.18
Np  0.2182  0.2600  0.5000  4 N 2.02-2.18
N  0.7516  0.7485  0.0058  2 Np 2.10
N  0.2484  0.7427  0.9942  2 Np 2.10
N  0.7542  0.2485  0.0058  2 Np 2.10
N  0.2458  0.2427  0.9942  2 Np 2.10
N  0.8545  0.8647  0.7323  1 Np 2.02
N  0.1455  0.1324  0.2677  1 Np 2.02
N  0.3778  0.3647  0.7323  1 Np 2.02
N  0.6222  0.6324  0.2677  1 Np 2.02
N  0.8818  0.1146  0.5000  2 Np 2.18
N  0.1182  0.6146  0.5000  2 Np 2.18

=====

3.
This record from Alexandria via LeMat-Bulk describes a relaxed structure of Sr3Np2N6. The functional is GGA-PBE.

Lattice parameters (Å, degrees): 4.2619 4.2619 10.8209 101.36 101.36 90.00
With the nearest neighbours (Å) after each atom.
Fractional coordinates of all 11 atoms:
Sr  0.0000  0.0000  0.0000  8 N 2.82
Sr  0.8142  0.8142  0.6284  1 N 2.57
Sr  0.1858  0.1858  0.3716  1 N 2.57
Np  0.4048  0.4048  0.8095  5 N 1.99-2.13
Np  0.5952  0.5952  0.1905  5 N 1.99-2.13
N  0.0890  0.5890  0.1779  2 Np 2.13
N  0.5890  0.0890  0.1779  2 Np 2.13
N  0.9110  0.4110  0.8221  2 Np 2.13
N  0.4110  0.9110  0.8221  2 Np 2.13
N  0.6908  0.6908  0.3816  1 Np 1.99
N  0.3092  0.3092  0.6184  1 Np 1.99

=====

4.
This record from Alexandria via LeMat-Bulk describes a relaxed structure of Sr3Np2N4. The functional is GGA-PBE.

Lattice parameters (Å, degrees): 3.6391 6.5457 8.1285 82.71 77.06 73.86
With the nearest neighbours (Å) after each atom.
Fractional coordinates of all 9 atoms:
Sr  0.0000  0.0000  0.0000  6 N 2.60-2.72
Sr  0.1388  0.4730  0.2495  4 N 2.62-2.73
Sr  0.8612  0.5270  0.7505  4 N 2.62-2.73
Np  0.6683  0.0556  0.6077  1 N 2.02
Np  0.3317  0.9444  0.3923  1 N 2.02
N  0.7755  0.1513  0.2977  3 Np 2.33-2.49, 1 Sr 2.60
N  0.2245  0.8487  0.7023  3 Np 2.33-2.49, 1 Sr 2.60
N  0.4785  0.2322  0.8109  1 Np 2.02
N  0.5215  0.7678  0.1891  1 Np 2.02

=====

5.
This record from Alexandria via LeMat-Bulk describes a relaxed structure of Sr5Np3N8. The functional is GGA-PBE.

Lattice parameters (Å, degrees): 7.2050 7.2050 7.2677 60.29 60.29 60.00
With the nearest neighbours (Å) after each atom.
Fractional coordinates of all 16 atoms:
Sr  0.5000  0.0000  0.0000  6 N 2.71-2.85
Sr  0.5000  0.5000  0.0000  6 N 2.71-2.85
Sr  0.0000  0.0000  0.0000  6 N 2.60
Sr  0.0000  0.5000  0.0000  6 N 2.71-2.85
Sr  0.5000  0.5000  0.5000  6 N 2.58
Np  0.5000  0.0000  0.5000  6 N 2.30-2.42
Np  0.0000  0.0000  0.5000  6 N 2.30-2.42
Np  0.0000  0.5000  0.5000  6 N 2.30-2.42
N  0.2502  0.2502  0.6955  2 Np 2.30
N  0.2502  0.8041  0.6955  2 Np 2.30
N  0.8041  0.2502  0.6955  2 Np 2.30
N  0.7642  0.7642  0.7074  3 Np 2.42
N  0.7498  0.7498  0.3045  2 Np 2.30
N  0.7498  0.1959  0.3045  2 Np 2.30
N  0.1959  0.7498  0.3045  2 Np 2.30
N  0.2358  0.2358  0.2926  3 Np 2.42

=====

6.
This record from Alexandria via LeMat-Bulk describes a relaxed structure of Sr4NpN4. The functional is GGA-PBE.

Lattice parameters (Å, degrees): 3.6494 6.3722 9.7071 72.57 79.17 73.36
With the nearest neighbours (Å) after each atom.
Fractional coordinates of all 9 atoms:
Sr  0.7229  0.3881  0.1661  5 N 2.62-2.82
Sr  0.9226  0.8193  0.3355  3 N 2.53-2.61
Sr  0.2771  0.6119  0.8339  5 N 2.62-2.82
Sr  0.0774  0.1807  0.6645  3 N 2.53-2.61
Np  0.5000  0.0000  0.0000  2 N 2.02
N  0.3667  0.0708  0.1958  1 Np 2.02
N  0.6333  0.9292  0.8042  1 Np 2.02
N  0.9129  0.2509  0.9233  2 Np 2.37, 1 Sr 2.61
N  0.0871  0.7491  0.0767  2 Np 2.37, 1 Sr 2.61

=====

7.
This record from Alexandria via LeMat-Bulk describes a relaxed structure of Sr3NpN4. The functional is GGA-PBE.

Lattice parameters (Å, degrees): 5.2763 5.2763 5.2763 102.32 102.32 102.32
With the nearest neighbours (Å) after each atom.
Fractional coordinates of all 8 atoms:
Np  0.1954  0.1954  0.1954  4 N 2.07-2.24
Sr  0.3370  0.7648  0.7648  7 N 2.65-2.93
Sr  0.7648  0.3370  0.7648  7 N 2.65-2.93
Sr  0.7648  0.7648  0.3370  7 N 2.65-2.93
N  0.8715  0.8715  0.8715  1 Np 2.24
N  0.6009  0.2328  0.2327  1 Np 2.07
N  0.2327  0.6009  0.2328  1 Np 2.07
N  0.2328  0.2327  0.6009  1 Np 2.07

=====

8.
This record from Alexandria via LeMat-Bulk describes a relaxed structure of Sr5Np2N6. The functional is GGA-PBE.

Lattice parameters (Å, degrees): 3.6730 12.2995 12.1848 90.00 90.00 90.00
With the nearest neighbours (Å) after each atom.
Fractional coordinates of all 26 atoms:
Sr  0.5000  0.2706  0.4486  5 N 2.64-2.79
Sr  0.5000  0.7294  0.5514  5 N 2.64-2.79
Sr  0.5000  0.7706  0.0514  5 N 2.64-2.79
Sr  0.5000  0.2294  0.9486  5 N 2.64-2.79
Sr  0.5000  0.5165  0.2793  5 N 2.58-2.78
Sr  0.5000  0.4835  0.7207  5 N 2.58-2.78
Sr  0.5000  0.0165  0.2207  5 N 2.58-2.78
Sr  0.5000  0.9835  0.7793  5 N 2.58-2.78
Sr  0.5000  0.5000  0.0000  2 N 2.62
Sr  0.5000  0.0000  0.5000  2 N 2.62
Np  0.0000  0.2716  0.2188  4 N 2.01-2.23
Np  0.0000  0.7284  0.7812  4 N 2.01-2.23
Np  0.0000  0.7716  0.2812  4 N 2.01-2.23
Np  0.0000  0.2284  0.7188  4 N 2.01-2.23
N  0.0000  0.1393  0.3386  1 Np 2.19
N  0.0000  0.8607  0.6614  1 Np 2.19
N  0.0000  0.6393  0.1614  1 Np 2.19
N  0.0000  0.3607  0.8386  1 Np 2.19
N  0.5000  0.3388  0.1405  2 Np 2.23
N  0.5000  0.6612  0.8595  2 Np 2.23
N  0.5000  0.8388  0.3595  2 Np 2.23
N  0.5000  0.1612  0.6405  2 Np 2.23
N  0.0000  0.3820  0.3407  1 Np 2.01
N  0.0000  0.6180  0.6593  1 Np 2.01
N  0.0000  0.8820  0.1593  1 Np 2.01
N  0.0000  0.1180  0.8407  1 Np 2.01

=====

Number 1: E_form (uncorrected) 0.17 eV per atom. Number 2: E_form (uncorrected) -1.00 eV per atom. Number 3: E_form (uncorrected) -0.93 eV per atom. Number 4: E_form (uncorrected) -0.77 eV per atom. Number 5: E_form (uncorrected) -0.96 eV per atom. Number 6: E_form (uncorrected) -0.85 eV per atom. Number 7: E_form (uncorrected) -0.62 eV per atom. Number 8: E_form (uncorrected) -0.71 eV per atom.